[1]
Compound: ZnO
Source: Alexandria
Functional: SCAN
Structure: single point on PBEsol structure

Summary:
- Uncorrected formation energy: -1.552 eV/atom
- Final energy: -45.70 eV for the cell shown
- Space group: P6_3/mmc, No. 194

Cell and atoms, written as POSCAR:
```
ZnO
1.0
3.424 0.000 0.000
-1.712 2.965 0.000
0.000 0.000 4.477
Zn O
2 2
direct
0.333 0.667 0.750
0.667 0.333 0.250
0.333 0.667 0.250
0.667 0.333 0.750
```



[2]
Compound: Na2ZnB6O11
Source: Alexandria
Functional: SCAN
Structure: single point on PBEsol structure

Summary:
- Uncorrected formation energy: -2.497 eV/atom
- Final energy: -370.01 eV for the cell shown
- Space group: C2/c, No. 15

Cell and atoms, written as POSCAR:
```
Na2ZnB6O11
1.0
6.527 0.023 -0.007
-2.321 6.101 0.007
-2.980 -2.459 10.654
B O Zn Na
12 22 2 4
direct
0.059 0.741 0.848
0.941 0.259 0.152
0.910 0.912 0.236
0.090 0.088 0.764
0.619 0.293 0.512
0.718 0.892 0.012
0.824 0.326 0.736
0.176 0.674 0.264
0.282 0.108 0.988
0.381 0.707 0.488
0.393 0.211 0.652
0.607 0.789 0.348
0.825 0.857 0.340
0.387 0.242 0.104
0.994 0.161 0.250
0.804 0.127 0.032
0.263 0.208 0.887
0.637 0.283 0.396
0.363 0.717 0.604
0.179 0.624 0.387
0.589 0.256 0.750
0.006 0.839 0.750
0.821 0.376 0.613
0.613 0.758 0.896
0.737 0.792 0.113
0.984 0.516 0.840
0.196 0.873 0.968
0.121 0.871 0.250
0.595 0.772 0.468
0.411 0.744 0.250
0.879 0.129 0.750
0.175 0.143 0.660
0.405 0.228 0.532
0.016 0.484 0.160
0.618 0.868 0.750
0.382 0.132 0.250
0.697 0.443 0.964
0.979 0.733 0.536
0.021 0.267 0.464
0.303 0.557 0.036
```



[3]
Compound: YZnTcPt2
Source: Alexandria
Functional: SCAN
Structure: single point on PBEsol structure

Summary:
- Final energy: -216.51 eV for the cell shown
- Space group: P4/mmm, No. 123
- Formation enthalpy at 0 K: 0.06 eV/atom

Cell and atoms, written as POSCAR:
```
YZnTcPt2
1.0
4.639 0.000 0.000
0.000 4.764 0.000
0.000 0.000 4.764
Pt Y Zn Tc
2 1 1 1
direct
0.000 0.000 0.500
0.000 0.500 0.000
0.500 0.500 0.500
0.500 0.000 0.000
0.000 0.000 0.000
```



[4]
Compound: CuP2Ir
Source: Alexandria
Functional: SCAN
Structure: single point on PBEsol structure

Summary:
- Final energy: -106.05 eV for the cell shown
- Space group: P4/mmm, No. 123
- Formation enthalpy at 0 K: 0.26 eV/atom

Cell and atoms, written as POSCAR:
```
CuP2Ir
1.0
-1.178 -1.130 2.318
0.746 -2.589 -0.883
5.712 0.562 3.177
Ir Cu P
1 1 2
direct
0.500 0.500 0.500
0.500 0.500 0.000
0.000 0.000 0.746
0.000 0.000 0.254
```



[5]
Compound: HgSbAu2
Source: Alexandria
Functional: SCAN
Structure: single point on PBEsol structure

Summary:
- Uncorrected formation energy: 0.169 eV/atom
- Final energy: -243.06 eV for the cell shown
- Space group: Cmmm, No. 65

Cell and atoms, written as POSCAR:
```
HgSbAu2
1.0
-1.948 1.765 1.814
-0.942 -1.661 -2.560
-1.759 -7.822 5.723
Au Hg Sb
2 1 1
direct
0.000 0.000 0.255
0.000 0.000 0.745
0.500 0.500 0.500
0.500 0.500 0.000
```



[6]
Compound: CaBeAs2
Source: Alexandria
Functional: SCAN
Structure: single point on PBEsol structure

Summary:
- Final energy: -55.09 eV for the cell shown
- Space group: P4/mmm, No. 123
- Formation enthalpy at 0 K: -0.17 eV/atom

Cell and atoms, written as POSCAR:
```
CaBeAs2
1.0
-1.464 3.258 1.527
0.801 -1.484 3.934
3.883 1.797 -0.113
As Ca Be
2 1 1
direct
0.000 0.500 0.000
0.000 0.000 0.500
0.500 0.500 0.500
0.500 0.000 0.000
```



[7]
Compound: KSr2Ag2
Source: Alexandria
Functional: SCAN
Structure: single point on PBEsol structure

Summary:
- Final energy: -232.74 eV for the cell shown
- Space group: P4/mbm, No. 127
- Formation enthalpy at 0 K: -0.15 eV/atom

Cell and atoms, written as POSCAR:
```
KSr2Ag2
1.0
-0.917 0.727 4.190
0.616 -8.573 1.623
8.528 0.935 1.703
Sr Ag K
4 4 2
direct
0.500 0.164 0.664
0.500 0.836 0.336
0.500 0.664 0.836
0.500 0.336 0.164
0.000 0.617 0.117
0.000 0.383 0.883
0.000 0.117 0.383
0.000 0.883 0.617
0.000 0.000 0.000
0.000 0.500 0.500
```



[8]
Compound: Mg2FeN2
Source: Alexandria
Functional: SCAN
Structure: single point on PBEsol structure

Summary:
- Uncorrected formation energy: -0.629 eV/atom
- Final energy: -99.61 eV for the cell shown
- Space group: C2/m, No. 12

Cell and atoms, written as POSCAR:
```
Mg2FeN2
1.0
-2.275 -3.273 1.625
0.996 -0.920 5.242
-4.187 2.063 3.993
Fe Mg N
2 4 4
direct
0.631 0.863 0.874
0.369 0.137 0.126
0.677 0.244 0.402
0.971 0.303 0.754
0.323 0.756 0.598
0.029 0.697 0.246
0.523 0.741 0.213
0.181 0.245 0.393
0.477 0.259 0.787
0.819 0.755 0.607
```



Q: Which formula does entry 6 have?
A: CaBeAs2